[1]
## NaCaLa2S4 (GGA-PBE)

Data for a geometry-optimized NaCaLa2S4 structure.

It has space group P2/m (No. 10), with a = 7.1000 Å, b = 4.1395 Å, c = 7.1642 Å, α = 90.00°, β = 109.57° and γ = 90.00°. Symmetry generates all atoms from Na at (0.0000, 0.0000, 0.0000), Ca at (0.0000, 0.5000, 0.5000), La at (0.5000, 0.0000, 0.5000), La at (0.5000, 0.5000, 0.0000), S at (0.2455, 0.0000, 0.7455) and S at (0.2523, 0.5000, 0.2548).

As for the uncorrected energy: -5.68 eV per atom. For the uncorrected formation energy, the calculation gives -15.789 eV per formula unit. The total magnetization comes out at 0.0 μB/cell.

[2]
## NaCa2LaS4 (GGA-PBE)

Data for a geometry-optimized NaCa2LaS4 structure.

It has space group P2/m (No. 10), with a = 7.0128 Å, b = 4.1316 Å, c = 7.0810 Å, α = 90.00°, β = 108.63° and γ = 90.00°. Symmetry generates all atoms from Na at (0.0000, 0.0000, 0.0000), Ca at (0.0000, 0.5000, 0.5000), Ca at (0.5000, 0.0000, 0.5000), La at (0.5000, 0.5000, 0.0000), S at (0.2513, 0.0000, 0.7470) and S at (0.2605, 0.5000, 0.2596).

As for the uncorrected energy: -5.33 eV per atom. For the uncorrected formation energy, the calculation gives -15.862 eV per formula unit. The total magnetization comes out at 0.0 μB/cell.

[3]
## NaCa2LaSb (GGA-PBE)

Data for a geometry-optimized NaCa2LaSb structure.

It has space group P4/mmm (No. 123), with a = 5.9333 Å, b = 5.9333 Å, c = 5.7334 Å, α = 90.00°, β = 90.00° and γ = 90.00°. Symmetry generates all atoms from Na at (0.0000, 0.0000, 0.0000), Ca at (0.0000, 0.5000, 0.5000), La at (0.0000, 0.0000, 0.5000) and Sb at (0.5000, 0.5000, 0.0000).

As for the uncorrected energy: -1.96 eV per atom. For the uncorrected formation energy, the calculation gives 4.563 eV per formula unit. The total magnetization comes out at 1.6 μB/cell.

[4]
## NaCaLa2Se4 (GGA-PBE)

Data for a geometry-optimized NaCaLa2Se4 structure.

It has space group P2/m (No. 10), with a = 7.4004 Å, b = 4.2963 Å, c = 7.4381 Å, α = 90.00°, β = 109.48° and γ = 90.00°. Symmetry generates all atoms from Na at (0.0000, 0.0000, 0.0000), Ca at (0.0000, 0.5000, 0.5000), La at (0.5000, 0.0000, 0.5000), La at (0.5000, 0.5000, 0.0000), Se at (0.2446, 0.0000, 0.7462) and Se at (0.2501, 0.5000, 0.2531).

As for the uncorrected energy: -5.25 eV per atom. For the uncorrected formation energy, the calculation gives -14.866 eV per formula unit. The total magnetization comes out at 0.0 μB/cell.

[5]
## NaCaLaSn (GGA-PBE)

Data for a geometry-optimized NaCaLaSn structure.

It has space group F-43m (No. 216), with a = 7.8680 Å, b = 7.8680 Å, c = 7.8680 Å, α = 90.00°, β = 90.00° and γ = 90.00°. Symmetry generates all atoms from Na at (0.0000, 0.0000, 0.0000), Ca at (0.2500, 0.2500, 0.7500), La at (0.2500, 0.2500, 0.2500) and Sn at (0.0000, 0.0000, 0.5000).

As for the uncorrected energy: -3.44 eV per atom. Its formation energy is -376 meV per atom. The total magnetization comes out at 0.0 μB/cell.

[6]
## NaCa3La2Te6 (GGA-PBE)

Data for a geometry-optimized NaCa3La2Te6 structure.

It has space group C2/m (No. 12), with a = 19.8550 Å, b = 4.5465 Å, c = 9.1546 Å, α = 90.00°, β = 103.46° and γ = 90.00°. Symmetry generates all atoms from Na at (0.0000, 0.0000, 0.0000), Ca at (0.0000, 0.0000, 0.5000), Ca at (0.1642, 0.5000, 0.8345), La at (0.1631, 0.5000, 0.3285), Te at (0.0009, 0.5000, 0.7446), Te at (0.1670, 0.0000, 0.5871) and Te at (0.1699, 0.0000, 0.0811).

As for the uncorrected energy: -4.54 eV per atom. For the uncorrected formation energy, the calculation gives -18.446 eV per formula unit. The total magnetization comes out at 0.0 μB/cell.

[7]
## NaCa2LaTe4 (GGA-PBE)

Data for a geometry-optimized NaCa2LaTe4 structure.

It has space group P2/m (No. 10), with a = 7.8556 Å, b = 4.5893 Å, c = 7.8770 Å, α = 90.00°, β = 108.80° and γ = 90.00°. Symmetry generates all atoms from Na at (0.0000, 0.0000, 0.0000), Ca at (0.0000, 0.5000, 0.5000), Ca at (0.5000, 0.0000, 0.5000), La at (0.5000, 0.5000, 0.0000), Te at (0.2492, 0.0000, 0.7477) and Te at (0.2561, 0.5000, 0.2564).

As for the uncorrected energy: -4.36 eV per atom. For the uncorrected formation energy, the calculation gives -12.075 eV per formula unit. The total magnetization comes out at 0.0 μB/cell.

[8]
## NaCa2LaTl (GGA-PBE)

Data for a geometry-optimized NaCa2LaTl structure.

It has space group P4/mmm (No. 123), with a = 6.2878 Å, b = 6.2878 Å, c = 5.9954 Å, α = 90.00°, β = 90.00° and γ = 90.00°. Symmetry generates all atoms from Na at (0.0000, 0.0000, 0.0000), Ca at (0.0000, 0.5000, 0.5000), La at (0.5000, 0.5000, 0.5000) and Tl at (0.5000, 0.5000, 0.0000).

As for the uncorrected energy: -1.94 eV per atom. Its formation energy is 584 meV per atom. The total magnetization comes out at 0.0 μB/cell.

[9]
## NaCaLa2Tl4 (GGA-PBE)

Data for a geometry-optimized NaCaLa2Tl4 structure.

It has space group R-3m (No. 166, hexagonal axes), with a = 5.5374 Å, b = 5.5374 Å, c = 27.1756 Å, α = 90.00°, β = 90.00° and γ = 120.00°. Symmetry generates all atoms from Na at (0.0000, 0.0000, 0.0000), Ca at (0.0000, 0.0000, 0.5000), La at (0.0000, 0.0000, 0.2521), Tl at (0.0000, 0.0000, 0.1237) and Tl at (0.0000, 0.0000, 0.3747).

As for the uncorrected energy: -3.20 eV per atom. Its formation energy is -374 meV per atom. The total magnetization comes out at 0.0 μB/cell.

[10]
## Na2CaLaW (GGA-PBE)

Data for a geometry-optimized Na2CaLaW structure.

It has space group P4/mmm (No. 123), with a = 5.3794 Å, b = 5.3794 Å, c = 5.6849 Å, α = 90.00°, β = 90.00° and γ = 90.00°. Symmetry generates all atoms from Na at (0.0000, 0.5000, 0.0000), Ca at (0.0000, 0.0000, 0.5000), La at (0.0000, 0.0000, 0.0000) and W at (0.5000, 0.5000, 0.5000).

As for the uncorrected energy: -2.15 eV per atom. Its formation energy is 2355 meV per atom. The total magnetization comes out at 0.9 μB/cell.

[11]
## CaLa3Nb (GGA-PBE)

Data for a geometry-optimized CaLa3Nb structure.

It has space group Pm-3m (No. 221), with a = 5.7525 Å, b = 5.7525 Å, c = 5.7525 Å, α = 90.00°, β = 90.00° and γ = 90.00°. Symmetry generates all atoms from Ca at (0.0000, 0.0000, 0.0000), La at (0.0000, 0.5000, 0.5000) and Nb at (0.5000, 0.5000, 0.5000).

The energy relative to the lowest polymorph listed for this composition comes out at 0.00 eV/f.u. As for the uncorrected energy: -5.08 eV per atom. Its formation energy is 288 meV per atom. The total magnetization comes out at 0.0 μB/cell.

[12]
## Ca3LaNb (GGA-PBE)

Data for a geometry-optimized Ca3LaNb structure.

It has space group Pm-3m (No. 221), with a = 5.5839 Å, b = 5.5839 Å, c = 5.5839 Å, α = 90.00°, β = 90.00° and γ = 90.00°. Symmetry generates all atoms from Ca at (0.0000, 0.0000, 0.5000), La at (0.0000, 0.0000, 0.0000) and Nb at (0.5000, 0.5000, 0.5000).

The energy relative to the lowest polymorph listed for this composition comes out at 4.35 eV/f.u. As for the uncorrected energy: -2.56 eV per atom. Its formation energy is 1643 meV per atom. The total magnetization comes out at 0.0 μB/cell.

[13]
## Ca3LaNb (GGA-PBE)

Data for a geometry-optimized Ca3LaNb structure.

It has space group Pm-3m (No. 221), with a = 5.7262 Å, b = 5.7262 Å, c = 5.7262 Å, α = 90.00°, β = 90.00° and γ = 90.00°. Symmetry generates all atoms from Ca at (0.0000, 0.0000, 0.5000), La at (0.5000, 0.5000, 0.5000) and Nb at (0.0000, 0.0000, 0.0000).

The energy relative to the lowest polymorph listed for this composition comes out at 0.00 eV/f.u. As for the uncorrected energy: -3.43 eV per atom. Its formation energy is 774 meV per atom. The total magnetization comes out at 1.8 μB/cell.

[14]
## Ca2LaNb (GGA-PBE)

Data for a geometry-optimized Ca2LaNb structure.

It has space group I-42d (No. 122), with a = 4.6451 Å, b = 4.6451 Å, c = 24.3638 Å, α = 90.00°, β = 90.00° and γ = 90.00°. Symmetry generates all atoms from Ca at (0.2354, 0.2500, 0.1250), La at (0.0000, 0.0000, 0.5000) and Nb at (0.0000, 0.0000, 0.0000).

The energy relative to the lowest polymorph listed for this composition comes out at 0.66 eV/f.u. As for the uncorrected energy: -3.97 eV per atom. Its formation energy is 782 meV per atom. The total magnetization comes out at 11.6 μB/cell.

[15]
## Ca2LaNb (GGA-PBE)

Data for a geometry-optimized Ca2LaNb structure.

It has space group Fm-3m (No. 225), with a = 7.9358 Å, b = 7.9358 Å, c = 7.9358 Å, α = 90.00°, β = 90.00° and γ = 90.00°. Symmetry generates all atoms from Ca at (0.2500, 0.2500, 0.2500), La at (0.0000, 0.0000, 0.0000) and Nb at (0.0000, 0.0000, 0.5000).

The energy relative to the lowest polymorph listed for this composition comes out at 0.00 eV/f.u. As for the uncorrected energy: -4.13 eV per atom. Its formation energy is 618 meV per atom. The total magnetization comes out at 8.9 μB/cell.

[16]
## CaLa3Nb (GGA-PBE)

Data for a geometry-optimized CaLa3Nb structure.

It has space group Pm-3m (No. 221), with a = 5.6181 Å, b = 5.6181 Å, c = 5.6181 Å, α = 90.00°, β = 90.00° and γ = 90.00°. Symmetry generates all atoms from Ca at (0.0000, 0.0000, 0.0000), La at (0.0000, 0.0000, 0.5000) and Nb at (0.5000, 0.5000, 0.5000).

The energy relative to the lowest polymorph listed for this composition comes out at 6.04 eV/f.u. As for the uncorrected energy: -3.87 eV per atom. Its formation energy is 1497 meV per atom. The total magnetization comes out at 0.0 μB/cell.

[17]
## CaLaNb2Pb (GGA-PBE)

Data for a geometry-optimized CaLaNb2Pb structure.

It has space group P4/mmm (No. 123), with a = 5.3621 Å, b = 5.3621 Å, c = 5.5865 Å, α = 90.00°, β = 90.00° and γ = 90.00°. Symmetry generates all atoms from Ca at (0.0000, 0.0000, 0.0000), La at (0.5000, 0.5000, 0.0000), Nb at (0.0000, 0.5000, 0.5000) and Pb at (0.0000, 0.0000, 0.5000).

As for the uncorrected energy: -5.06 eV per atom. Its formation energy is 1093 meV per atom. The total magnetization comes out at 0.0 μB/cell.

[18]
## CaLaNb2Pd (GGA-PBE)

Data for a geometry-optimized CaLaNb2Pd structure.

It has space group P4/mmm (No. 123), with a = 4.8948 Å, b = 4.8948 Å, c = 5.5396 Å, α = 90.00°, β = 90.00° and γ = 90.00°. Symmetry generates all atoms from Ca at (0.0000, 0.0000, 0.0000), La at (0.0000, 0.0000, 0.5000), Nb at (0.0000, 0.5000, 0.5000) and Pd at (0.5000, 0.5000, 0.0000).

As for the uncorrected energy: -4.92 eV per atom. Its formation energy is 1530 meV per atom. The total magnetization comes out at 0.0 μB/cell.

[19]
## CaLaTiNb2 (GGA-PBE)

Data for a geometry-optimized CaLaTiNb2 structure.

It has space group P4/mmm (No. 123), with a = 4.9335 Å, b = 4.9335 Å, c = 5.2146 Å, α = 90.00°, β = 90.00° and γ = 90.00°. Symmetry generates all atoms from Ca at (0.0000, 0.0000, 0.0000), La at (0.0000, 0.0000, 0.5000), Ti at (0.5000, 0.5000, 0.5000) and Nb at (0.0000, 0.5000, 0.0000).

As for the uncorrected energy: -5.03 eV per atom. Its formation energy is 1962 meV per atom. The total magnetization comes out at 0.0 μB/cell.

[20]
## CaLaY2Nb (GGA-PBE)

Data for a geometry-optimized CaLaY2Nb structure.

It has space group P4/mmm (No. 123), with a = 5.4274 Å, b = 5.4274 Å, c = 5.4829 Å, α = 90.00°, β = 90.00° and γ = 90.00°. Symmetry generates all atoms from Ca at (0.0000, 0.0000, 0.0000), La at (0.0000, 0.0000, 0.5000), Y at (0.0000, 0.5000, 0.0000) and Nb at (0.5000, 0.5000, 0.5000).

As for the uncorrected energy: -4.45 eV per atom. Its formation energy is 1531 meV per atom. The total magnetization comes out at 0.0 μB/cell.

[21]
## CaLa4Nd4 (GGA-PBE)

Data for a geometry-optimized CaLa4Nd4 structure.

It has space group I4/mmm (No. 139), with a = 11.1677 Å, b = 11.1677 Å, c = 5.2895 Å, α = 90.00°, β = 90.00° and γ = 90.00°. Symmetry generates all atoms from Ca at (0.0000, 0.0000, 0.0000), La at (0.1743, 0.1743, 0.5000) and Nd at (0.0000, 0.3365, 0.0000).

As for the uncorrected energy: -4.50 eV per atom. Its formation energy is 29 meV per atom. The total magnetization comes out at 0.0 μB/cell.

[22]
## Ca2La3Nd7 (GGA-PBE)

Data for a geometry-optimized Ca2La3Nd7 structure.

It has space group P2/m (No. 10), with a = 6.1054 Å, b = 3.6623 Å, c = 19.9208 Å, α = 90.00°, β = 93.13° and γ = 90.00°. Symmetry generates all atoms from Ca at (0.2151, 0.0000, 0.2936), La at (0.0000, 0.0000, 0.0000), La at (0.2728, 0.5000, 0.6284), Nd at (0.1928, 0.5000, 0.1401), Nd at (0.2441, 0.0000, 0.4668), Nd at (0.3034, 0.0000, 0.8287) and Nd at (0.5000, 0.5000, 0.0000).

As for the uncorrected energy: -4.25 eV per atom. Its formation energy is 99 meV per atom. The total magnetization comes out at 0.0 μB/cell.

[23]
## CaLa2Nd3 (GGA-PBE)

Data for a geometry-optimized CaLa2Nd3 structure.

It has space group C2/c (No. 15), with a = 11.7930 Å, b = 7.3339 Å, c = 11.7176 Å, α = 90.00°, β = 119.91° and γ = 90.00°. Symmetry generates all atoms from Ca at (0.0000, 0.2488, 0.2500), La at (0.1652, 0.0062, 0.5847), Nd at (0.0000, 0.2558, 0.7500) and Nd at (0.1634, 0.4942, 0.0808).

As for the uncorrected energy: -4.25 eV per atom. Its formation energy is 112 meV per atom. The total magnetization comes out at 0.0 μB/cell.

[24]
## Ca2La4Nd5 (GGA-PBE)

Data for a geometry-optimized Ca2La4Nd5 structure.

It has space group C2/m (No. 12), with a = 18.5160 Å, b = 3.6737 Å, c = 12.0968 Å, α = 90.00°, β = 94.64° and γ = 90.00°. Symmetry generates all atoms from Ca at (0.2152, 0.0000, 0.3558), La at (0.0358, 0.5000, 0.2570), La at (0.1367, 0.0000, 0.7962), Nd at (0.0000, 0.0000, 0.0000), Nd at (0.0895, 0.5000, 0.5422) and Nd at (0.1769, 0.5000, 0.0628).

As for the uncorrected energy: -4.24 eV per atom. Its formation energy is 86 meV per atom. The total magnetization comes out at 0.0 μB/cell.

[25]
## CaLaNd3 (GGA-PBE)

Data for a geometry-optimized CaLaNd3 structure.

It has space group Cmmm (No. 65), with a = 5.5565 Å, b = 11.5740 Å, c = 11.5344 Å, α = 90.00°, β = 90.00° and γ = 90.00°. Symmetry generates all atoms from Ca at (0.0000, 0.1567, 0.0000), La at (0.0000, 0.3639, 0.5000), Nd at (0.0000, 0.1530, 0.3042) and Nd at (0.0000, 0.5000, 0.1819).

The energy relative to the lowest polymorph listed for this composition comes out at 0.00 eV/f.u. As for the uncorrected energy: -4.09 eV per atom. Its formation energy is 158 meV per atom. The total magnetization comes out at 0.0 μB/cell.

[26]
## Ca2LaNd4 (GGA-PBE)

Data for a geometry-optimized Ca2LaNd4 structure.

It has space group Cmmm (No. 65), with a = 5.5589 Å, b = 25.6497 Å, c = 3.6208 Å, α = 90.00°, β = 90.00° and γ = 90.00°. Symmetry generates all atoms from Ca at (0.0000, 0.2112, 0.0000), La at (0.0000, 0.5000, 0.5000), Nd at (0.0000, 0.0706, 0.0000) and Nd at (0.0000, 0.3595, 0.5000).

The energy relative to the lowest polymorph listed for this composition comes out at 0.00 eV/f.u. As for the uncorrected energy: -3.93 eV per atom. Its formation energy is 73 meV per atom. The total magnetization comes out at 0.0 μB/cell.